Computed, not measured: Li2ZrMn after structural relaxation at the PBE level of DFT.

Cell: 5.0632 5.0632 5.3147 Å, 71.00 71.00 33.54°
Sites, in units of the cell vectors:
1 Li 0.7692 0.7692 0.8072
2 Li 0.0157 0.0157 0.9303
3 Zr 0.2304 0.2304 0.3325
4 Mn 0.4847 0.4847 0.4300

Calculated values
The energy of formation from the pure elements is 0.3212 eV/atom.